[1]
VASP calculation (PBE) on a geometry-optimized Na2SrBr2Cl2 structure.

Values from the calculation:
The value obtained for the uncorrected formation energy is -1.9056 eV/atom.

Unit cell a=4.420 b=8.003 c=8.255 alpha=61.55 beta=61.00 gamma=69.17
Element x y z (fractional)
Na: 0.084 0.574 0.697
Na: 0.916 0.426 0.303
Sr: 0.000 0.000 0.000
Br: 0.303 0.248 0.560
Br: 0.697 0.752 0.440
Cl: 0.316 0.256 0.019
Cl: 0.684 0.744 0.981

[2]
VASP calculation (PBE) on a geometry-optimized Na3TcBr2Cl6 structure.

Values from the calculation:
The value obtained for the uncorrected formation energy is -1.0723 eV/atom.

Unit cell a=6.052 b=7.994 c=8.174 alpha=119.28 beta=90.78 gamma=90.00
Element x y z (fractional)
Na: 0.000 0.500 0.000
Na: 0.500 0.500 0.500
Na: 0.500 0.000 0.500
Tc: 0.500 0.000 0.000
Br: 0.215 0.675 0.351
Br: 0.785 0.325 0.649
Cl: 0.721 0.279 0.141
Cl: 0.279 0.721 0.859
Cl: 0.728 0.868 0.736
Cl: 0.272 0.132 0.264
Cl: 0.279 0.138 0.859
Cl: 0.721 0.862 0.141

[3]
VASP calculation (PBE) on a geometry-optimized NaTeBr2Cl structure.

Values from the calculation:
The value obtained for the uncorrected formation energy is 0.0753 eV/atom.

Unit cell a=5.233 b=8.763 c=5.233 alpha=90.00 beta=90.00 gamma=90.00
Element x y z (fractional)
Na: 0.000 0.000 0.000
Te: 0.000 0.500 0.000
Br: 0.000 0.000 0.500
Br: 0.500 0.000 0.000
Cl: 0.500 0.500 0.500

[4]
VASP calculation (PBE) on a geometry-optimized NaTlBrCl structure.

Values from the calculation:
The value obtained for the uncorrected formation energy is -1.1690 eV/atom.

Unit cell a=5.430 b=5.430 c=5.430 alpha=60.00 beta=60.00 gamma=60.00
Element x y z (fractional)
Na: 0.500 0.500 0.500
Tl: 0.000 0.000 0.000
Br: 0.750 0.750 0.750
Cl: 0.250 0.250 0.250

Across the entries above, DFT total energy takes the values -3.528, -3.468, -1.855, -2.970 eV per atom, respectively.